BaMgZr2 (PBE, optimized geometry); space group = No. 12; energy of formation from the pure elements = 0.501 eV/atom
1.0
5.813 0.000 -0.001
-2.866 6.102 0.008
0.080 0.855 3.122
Ba Zr Mg
1 2 1
direct
0.000 0.500 0.500
0.000 0.000 0.000
0.500 0.000 0.500
0.500 0.500 0.000

BaMgZr2 (PBE, optimized geometry); space group = No. 123; energy of formation from the pure elements = 0.547 eV/atom
1.0
5.047 0.000 0.000
0.000 4.684 0.000
0.000 0.000 4.684
Ba Mg Zr
1 1 2
direct
0.500 0.500 0.000
0.500 0.000 0.500
0.000 0.000 0.000
0.000 0.500 0.500

BaMg14Zr (PBE, optimized geometry); space group = No. 187; energy of formation from the pure elements = 0.086 eV/atom
1.0
1.854 0.965 6.312
-2.929 -5.700 -1.770
9.339 -4.143 -2.109
Mg Zr Ba
14 1 1
direct
0.667 0.333 0.741
0.170 0.830 0.234
0.659 0.830 0.766
0.491 0.982 0.500
0.170 0.341 0.766
0.667 0.333 0.259
0.170 0.341 0.234
0.997 0.498 0.000
0.659 0.830 0.234
0.170 0.830 0.766
0.018 0.509 0.500
0.502 0.003 0.000
0.491 0.509 0.500
0.502 0.498 0.000
0.000 0.000 0.000
0.000 0.000 0.500

BaMgZr2 (PBE, optimized geometry); space group = No. 10; energy of formation from the pure elements = 0.431 eV/atom
1.0
5.556 0.000 0.000
0.000 3.245 0.002
0.000 1.098 6.333
Zr Ba Mg
2 1 1
direct
0.000 0.939 0.951
0.000 0.561 0.549
0.500 0.250 0.250
0.500 0.750 0.750

Ba3Mn (PBE, optimized geometry); space group = No. 223; energy of formation from the pure elements = 0.517 eV/atom
1.0
7.230 0.000 0.000
0.000 7.230 0.000
0.000 0.000 7.230
Ba Mn
6 2
direct
0.500 0.000 0.250
0.000 0.750 0.500
0.500 0.000 0.750
0.250 0.500 0.000
0.750 0.500 0.000
0.000 0.250 0.500
0.000 0.000 0.000
0.500 0.500 0.500

Ba5Mn (PBE, optimized geometry); space group = No. 189; energy of formation from the pure elements = 0.352 eV/atom
1.0
3.655 -6.331 0.000
3.655 6.331 0.000
0.000 0.000 6.662
Ba Mn
5 1
direct
0.688 0.000 0.000
0.000 0.688 0.000
0.667 0.333 0.500
0.312 0.312 0.000
0.333 0.667 0.500
0.000 0.000 0.500

Ba2Mn (PBE, optimized geometry); space group = No. 194; energy of formation from the pure elements = 0.909 eV/atom
1.0
-4.630 -5.311 4.534
7.830 1.808 2.372
-2.969 6.635 4.740
Ba Mn
8 4
direct
0.191 0.809 0.750
0.000 0.000 0.000
0.809 0.619 0.250
0.809 0.191 0.250
0.619 0.809 0.750
0.191 0.381 0.750
0.000 0.000 0.500
0.381 0.191 0.250
0.333 0.667 0.409
0.333 0.667 0.091
0.667 0.333 0.591
0.667 0.333 0.909

Ba3Mn (PBE, optimized geometry); space group = No. 187; energy of formation from the pure elements = 0.445 eV/atom
1.0
4.413 0.000 0.000
-2.206 3.821 0.000
0.000 0.000 12.186
Ba Mn
3 1
direct
0.667 0.333 0.250
0.000 0.000 0.559
0.000 0.000 0.941
0.667 0.333 0.750

Number 8 is which compound?
Ba3Mn

What is the formula in the sixth record?
Ba5Mn

Look up the energy of formation from the pure elements of the seventh one.
0.909 eV/atom